1.
The following is a DFT calculation (GGA-PBE) of a relaxed Ac2Sb2O7 crystal.

a b c (Å): 7.2374 7.2374 4.2556
angles (deg): 103.78 103.78 57.29
Fractional coordinates of all 11 atoms:
Ac  0.2113  0.2113  0.2225
Ac  0.7887  0.7887  0.7775
Sb  0.2691  0.7309  0.5000
Sb  0.7309  0.2691  0.5000
O  0.0000  0.0000  0.0000
O  0.0456  0.6245  0.2972
O  0.3755  0.9544  0.7028
O  0.4393  0.4393  0.6939
O  0.5607  0.5607  0.3061
O  0.6245  0.0456  0.2972
O  0.9544  0.3755  0.7028

Output
symmetry: C2/m, No. 12
density: 7.4 g/cm3
D(E_F): 0.137 states/eV per atom
E_form (uncorrected): -2113 meV per atom

2.
The following is a DFT calculation (GGA-PBE) of a relaxed LiCeEuAl crystal.

a b c (Å): 5.3305 5.3305 5.3305
angles (deg): 60.00 60.00 60.00
Fractional coordinates of all 4 atoms:
Li  0.0000  0.0000  0.0000
Ce  0.2500  0.2500  0.2500
Eu  0.7500  0.7500  0.7500
Al  0.5000  0.5000  0.5000

Output
symmetry: F-43m, No. 216
energy relative to the elements: -33 meV/atom
density: 5.1 g/cm3
D(E_F): 2.072 states/eV per atom

3.
The following is a DFT calculation (GGA-PBE) of a relaxed NdCoH5 crystal.

a b c (Å): 4.4667 4.4667 4.4667
angles (deg): 130.50 116.27 84.72
Fractional coordinates of all 7 atoms:
Nd  0.0000  0.0000  0.0000
Co  0.5000  0.5000  0.0000
H  0.0995  0.3384  0.7612
H  0.4228  0.6616  0.7612
H  0.5000  0.0000  0.5000
H  0.5772  0.3384  0.2388
H  0.9005  0.6616  0.2388

Output
symmetry: Immm, No. 71
density: 5.9 g/cm3
uncorrected energy: -4.48 eV/atom

4.
The following is a DFT calculation (GGA-PBE) of a relaxed Tb4Y3S8 crystal.

a b c (Å): 7.8297 7.8297 7.8286
angles (deg): 119.99 119.99 90.01
Fractional coordinates of all 15 atoms:
Tb  0.0000  0.0000  0.0000
Tb  0.0000  0.5000  0.0000
Tb  0.5000  0.0000  0.0000
Tb  0.5000  0.5000  0.5000
Y  0.0000  0.5000  0.5000
Y  0.5000  0.0000  0.5000
Y  0.5000  0.5000  0.0000
S  0.2493  0.2493  0.5006
S  0.2493  0.2493  0.9980
S  0.2490  0.7510  0.5000
S  0.2503  0.7497  0.0000
S  0.7497  0.2503  0.0000
S  0.7510  0.2490  0.5000
S  0.7507  0.7507  0.0020
S  0.7507  0.7507  0.4994

Output
symmetry: C2/m, No. 12
density: 5.7 g/cm3
D(E_F): 0.423 states/eV per atom
E_form (uncorrected): -2057 meV per atom

5.
The following is a DFT calculation (GGA-PBE) of a relaxed Rb2NaCuHg crystal.

a b c (Å): 6.6219 6.6219 5.1968
angles (deg): 90.00 90.00 90.00
Fractional coordinates of all 5 atoms:
Rb  0.0000  0.5000  0.0000
Rb  0.5000  0.0000  0.0000
Na  0.0000  0.0000  0.5000
Cu  0.5000  0.5000  0.0000
Hg  0.5000  0.5000  0.5000

Output
symmetry: P4/mmm, No. 123
energy relative to the elements: 117 meV/atom
density: 3.3 g/cm3
D(E_F): 0.895 states/eV per atom

6.
The following is a DFT calculation (GGA-PBE) of a relaxed Na3Th2USe6 crystal.

a b c (Å): 9.6226 9.6226 8.6460
angles (deg): 106.58 106.58 24.89
Fractional coordinates of all 12 atoms:
Na  0.0000  0.0000  0.0000
Na  0.3331  0.3331  0.6702
Na  0.6669  0.6669  0.3298
Th  0.3392  0.3392  0.1798
Th  0.6608  0.6608  0.8202
U  0.0000  0.0000  0.5000
Se  0.1651  0.1651  0.5809
Se  0.1715  0.1715  0.0749
Se  0.4988  0.4988  0.7414
Se  0.5012  0.5012  0.2586
Se  0.8285  0.8285  0.9251
Se  0.8349  0.8349  0.4191

Output
symmetry: C2/m, No. 12
density: 6.4 g/cm3
D(E_F): 0.435 states/eV per atom
E_form (uncorrected): -1384 meV per atom

7.
The following is a DFT calculation (GGA-PBE) of a relaxed CePr3 crystal.

a b c (Å): 6.3745 6.3745 6.3745
angles (deg): 132.22 132.22 69.88
Fractional coordinates of all 4 atoms:
Ce  0.0000  0.0000  0.0000
Pr  0.2500  0.7500  0.5000
Pr  0.5000  0.5000  0.0000
Pr  0.7500  0.2500  0.5000

Output
polymorph energy (0 for the lowest one): 6 meV per atom
symmetry: I4/mmm, No. 139
energy relative to the elements: 90 meV/atom
density: 6.7 g/cm3
D(E_F): 2.694 states/eV per atom

8.
The following is a DFT calculation (GGA-PBE) of a relaxed CeZr5Sc12 crystal.

a b c (Å): 5.6428 5.6428 15.9048
angles (deg): 93.39 93.39 120.03
Fractional coordinates of all 18 atoms:
Ce  0.0000  0.0000  0.0000
Zr  0.1668  0.8332  0.5000
Zr  0.3333  0.6667  0.0000
Zr  0.5000  0.5000  0.5000
Zr  0.6667  0.3333  0.0000
Zr  0.8332  0.1668  0.5000
Sc  0.0564  0.7214  0.1671
Sc  0.1139  0.4477  0.3393
Sc  0.2198  0.2198  0.6606
Sc  0.2786  0.9436  0.8329
Sc  0.3913  0.3913  0.1672
Sc  0.4477  0.1139  0.3393
Sc  0.5523  0.8861  0.6607
Sc  0.6087  0.6087  0.8328
Sc  0.7214  0.0564  0.1671
Sc  0.7802  0.7802  0.3394
Sc  0.8861  0.5523  0.6607
Sc  0.9436  0.2786  0.8329

Output
symmetry: C2/m, No. 12
energy relative to the elements: 20 meV/atom
density: 4.3 g/cm3
D(E_F): 1.684 states/eV per atom